Material: Er6Tl3Rh
Method: DFT, GGA-PBE
State: optimized geometry

Lattice parameters (Å, degrees): 8.948 11.605 5.171 90.00 90.00 90.00
Fractional coordinates of all 20 atoms:
1 Er 0.011 0.236 0.000
2 Er 0.157 0.083 0.500
3 Er 0.187 0.415 0.500
4 Er 0.313 0.915 0.000
5 Er 0.343 0.583 0.000
6 Er 0.489 0.736 0.500
7 Er 0.511 0.264 0.500
8 Er 0.657 0.417 0.000
9 Er 0.687 0.085 0.000
10 Er 0.813 0.585 0.500
11 Er 0.843 0.917 0.500
12 Er 0.989 0.764 0.000
13 Tl 0.000 0.500 0.000
14 Tl 0.156 0.738 0.500
15 Tl 0.344 0.238 0.000
16 Tl 0.500 0.000 0.500
17 Tl 0.656 0.762 0.000
18 Tl 0.844 0.262 0.500
19 Rh 0.000 0.000 0.000
20 Rh 0.500 0.500 0.500

Values from the calculation:
space group: Pnnm
ΔE_f: -0.367 eV/atom
crystal system: orthorhombic


Material: TaTiSe2
Method: DFT, GGA-PBE
State: optimized geometry

Lattice parameters (Å, degrees): 3.237 3.237 25.815 90.00 90.00 120.00
Fractional coordinates of all 12 atoms:
1 Ta 0.000 0.000 0.000
2 Ta 0.333 0.667 0.667
3 Ta 0.667 0.333 0.333
4 Ti 0.000 0.000 0.500
5 Ti 0.333 0.667 0.167
6 Ti 0.667 0.333 0.833
7 Se 0.000 0.000 0.100
8 Se 0.000 0.000 0.900
9 Se 0.333 0.667 0.566
10 Se 0.333 0.667 0.767
11 Se 0.667 0.333 0.233
12 Se 0.667 0.333 0.434

Values from the calculation:
space group: R-3m
E_form (uncorrected): -0.3261 eV/atom
crystal system: trigonal


Material: CeBS3
Method: DFT, GGA-PBE
State: optimized geometry

Lattice parameters (Å, degrees): 7.238 7.238 7.238 106.62 127.24 96.25
Fractional coordinates of all 10 atoms:
1 Ce 0.119 0.250 0.369
2 Ce 0.881 0.750 0.631
3 B 0.263 0.658 0.106
4 B 0.552 0.158 0.894
5 S 0.211 0.036 0.675
6 S 0.221 0.555 0.817
7 S 0.221 0.904 0.166
8 S 0.362 0.536 0.325
9 S 0.738 0.055 0.834
10 S 0.738 0.404 0.183

Values from the calculation:
space group: Ima2
E_form (uncorrected): -0.9817 eV/atom
crystal system: orthorhombic


Material: SmCdGaPt3
Method: DFT, GGA-PBE
State: optimized geometry

Lattice parameters (Å, degrees): 7.082 7.082 5.727 90.00 90.00 119.26
Fractional coordinates of all 12 atoms:
1 Sm 0.187 0.813 0.750
2 Sm 0.813 0.187 0.250
3 Cd 0.436 0.564 0.750
4 Cd 0.564 0.436 0.250
5 Ga 0.128 0.872 0.250
6 Ga 0.872 0.128 0.750
7 Pt 0.199 0.199 0.000
8 Pt 0.199 0.199 0.500
9 Pt 0.327 0.673 0.250
10 Pt 0.673 0.327 0.750
11 Pt 0.801 0.801 0.000
12 Pt 0.801 0.801 0.500

Values from the calculation:
space group: Cmcm
ΔE_f: -0.524 eV/atom
crystal system: orthorhombic


Material: BaAg2P
Method: DFT, GGA-PBE
State: optimized geometry

Lattice parameters (Å, degrees): 4.703 4.500 5.330 90.00 90.77 90.00
Fractional coordinates of all 4 atoms:
1 Ba 0.000 0.000 0.000
2 Ag 0.495 0.500 0.748
3 Ag 0.505 0.500 0.252
4 P 0.500 0.000 0.500

Values from the calculation:
space group: P2/m
ΔE_f: -0.234 eV/atom
crystal system: monoclinic


Material: YOs2Au
Method: DFT, GGA-PBE
State: optimized geometry

Lattice parameters (Å, degrees): 2.891 4.223 6.028 90.00 90.00 90.00
Fractional coordinates of all 4 atoms:
1 Y 0.000 0.000 0.000
2 Os 0.500 0.500 0.295
3 Os 0.500 0.500 0.705
4 Au 0.000 0.000 0.500

Values from the calculation:
space group: Pmmm
ΔE_f: 0.458 eV/atom
crystal system: orthorhombic


Material: Tl2PbAu2
Method: DFT, GGA-PBE
State: optimized geometry

Lattice parameters (Å, degrees): 7.909 7.909 4.150 90.00 90.00 90.00
Fractional coordinates of all 10 atoms:
1 Tl 0.170 0.330 0.000
2 Tl 0.330 0.830 0.000
3 Tl 0.670 0.170 0.000
4 Tl 0.830 0.670 0.000
5 Pb 0.000 0.000 0.500
6 Pb 0.500 0.500 0.500
7 Au 0.129 0.629 0.500
8 Au 0.371 0.129 0.500
9 Au 0.629 0.871 0.500
10 Au 0.871 0.371 0.500

Values from the calculation:
space group: P4/mbm
ΔE_f: -0.005 eV/atom
crystal system: tetragonal


Material: Zn2CuCl
Method: DFT, GGA-PBE
State: optimized geometry

Lattice parameters (Å, degrees): 3.084 6.061 8.175 90.00 90.00 90.00
Fractional coordinates of all 8 atoms:
1 Zn 0.000 0.000 0.238
2 Zn 0.000 0.000 0.762
3 Zn 0.500 0.500 0.262
4 Zn 0.500 0.500 0.738
5 Cu 0.000 0.500 0.500
6 Cu 0.500 0.000 0.000
7 Cl 0.000 0.500 0.000
8 Cl 0.500 0.000 0.500

Values from the calculation:
space group: Immm
E_form (uncorrected): 0.0505 eV/atom
crystal system: orthorhombic